# 1
First-principles (SCAN) data for a crystal of MnZnAg3 relaxed with PBEsol, as listed in the Alexandria database.

Structure (POSCAR):
```
MnZnAg3
1.0
4.6661 0.0000 0.0000
0.0000 4.6661 0.0000
0.0000 0.0000 4.6661
Mn Zn Ag
1 1 3
Cartesian
0.0000 0.0000 0.0000
2.3330 2.3330 2.3330
0.0000 2.3330 2.3330
2.3330 0.0000 2.3330
2.3330 2.3330 0.0000
```

Symmetry: Pm-3m (221)
Calculated formation energy, eV per atom: 0.60
Total magnetic moment, μB per formula unit: 4.6
D(E_F), states/eV/atom: 0.418
Crystal system: cubic

=====

# 2
First-principles (SCAN) data for a crystal of Zr2MnAg relaxed with PBEsol, as listed in the Alexandria database.

Structure (POSCAR):
```
Zr2MnAg
1.0
3.0924 0.0000 0.0000
0.0000 4.5939 0.0000
-0.5889 0.0000 5.0697
Zr Mn Ag
2 1 1
Cartesian
0.0000 0.0000 0.0000
0.1419 2.2969 2.9657
1.5920 0.0000 2.4010
1.6423 2.2969 0.6122
```

Symmetry: Pm (6)
Calculated formation energy, eV per atom: -0.08
Total magnetic moment, μB per formula unit: 2.2
D(E_F), states/eV/atom: 0.778
Crystal system: monoclinic

=====

# 3
First-principles (SCAN) data for a crystal of Zr2MnAg relaxed with PBEsol, as listed in the Alexandria database.

Structure (POSCAR):
```
Zr2MnAg
1.0
3.1016 0.0000 0.0000
0.0000 3.1016 0.0000
0.0000 0.0000 7.2690
Zr Mn Ag
2 1 1
Cartesian
0.0000 0.0000 1.5482
0.0000 0.0000 5.7208
1.5508 1.5508 0.0000
1.5508 1.5508 3.6345
```

Symmetry: P4/mmm (123)
Calculated formation energy, eV per atom: -0.12
Total magnetic moment, μB per formula unit: 0.0
D(E_F), states/eV/atom: 0.610
Crystal system: tetragonal

=====

# 4
First-principles (SCAN) data for a crystal of ZrMnAg2 relaxed with PBEsol, as listed in the Alexandria database.

Structure (POSCAR):
```
ZrMnAg2
1.0
2.7314 -4.2610 0.0000
2.7314 4.2610 0.0000
0.0000 0.0000 2.9183
Zr Mn Ag
1 1 2
Cartesian
0.0000 0.0000 0.0000
2.7314 0.0000 0.0000
1.3657 2.1305 1.4592
1.3657 -2.1305 1.4592
```

Symmetry: Cmmm (65)
Calculated formation energy, eV per atom: 0.07
Total magnetic moment, μB per formula unit: 3.0
D(E_F), states/eV/atom: 0.602
Crystal system: orthorhombic

=====

# 5
First-principles (SCAN) data for a crystal of ZrMn3Ag relaxed with PBEsol, as listed in the Alexandria database.

Structure (POSCAR):
```
ZrMn3Ag
1.0
4.7053 0.0000 0.0000
0.0000 4.7053 0.0000
0.0000 0.0000 4.7053
Zr Mn Ag
1 3 1
Cartesian
0.0000 0.0000 0.0000
0.0000 2.3526 2.3526
2.3526 0.0000 2.3526
2.3526 2.3526 0.0000
2.3526 2.3526 2.3526
```

Symmetry: Pm-3m (221)
Calculated formation energy, eV per atom: 0.72
Total magnetic moment, μB per formula unit: 11.3
D(E_F), states/eV/atom: 0.778
Crystal system: cubic

=====

# 6
First-principles (SCAN) data for a crystal of Zr4MnAg relaxed with PBEsol, as listed in the Alexandria database.

Structure (POSCAR):
```
Zr4MnAg
1.0
0.0000 3.9479 3.9479
3.9479 0.0000 3.9479
3.9479 3.9479 0.0000
Zr Mn Ag
4 1 1
Cartesian
0.9792 0.9792 0.9792
2.9686 2.9686 0.9792
2.9686 0.9792 2.9686
0.9792 2.9686 2.9686
5.9218 5.9218 5.9218
3.9479 3.9479 3.9479
```

Symmetry: F-43m (216)
Calculated formation energy, eV per atom: 0.43
Total magnetic moment, μB per formula unit: 3.7
D(E_F), states/eV/atom: 0.853
Crystal system: cubic